Entry 1:
The following is a PBE-GGA calculation of a relaxed structure of HoScZnSn, from Alexandria.

Cell lengths 7.1192, 7.1192, 7.1192 Å; angles 90.00, 90.00, 90.00 degrees
Last column: nearest neighbours and their distance in Å.
Space group F-43m (No. 216)
Inequivalent atoms, fractional coordinates:
Ho1 0.0000 0.0000 0.0000 [4 per cell]  4 Sn 3.08, 4 Zn 3.08
Sc1 0.0000 0.0000 0.5000 [4 per cell]  4 Sn 3.08, 4 Zn 3.08
Zn1 0.2500 0.2500 0.2500 [4 per cell]  4 Ho 3.08, 4 Sc 3.08
Sn1 0.2500 0.2500 0.7500 [4 per cell]  4 Ho 3.08, 4 Sc 3.08

Properties
The energy of formation from the pure elements comes out at -0.467 eV/atom.

=====

Entry 2:
The following is a PBE-GGA calculation of a relaxed structure of Fe2Ni9Pt, from Alexandria.

Cell lengths 3.5882, 3.5882, 10.7244 Å; angles 90.00, 90.00, 90.00 degrees
Last column: nearest neighbours and their distance in Å.
Space group P4/mmm (No. 123)
Inequivalent atoms, fractional coordinates:
Fe1 0.0000 0.0000 0.1641 [2 per cell]  12 Ni 2.48-2.54
Ni1 0.0000 0.5000 0.0000 [2 per cell]  8 Ni 2.50-2.54, 4 Fe 2.51
Ni2 0.0000 0.5000 0.3243 [4 per cell]  2 Fe 2.48, 8 Ni 2.50-2.60, 2 Pt 2.60
Ni3 0.5000 0.5000 0.1625 [2 per cell]  8 Ni 2.50, 4 Fe 2.54
Ni4 0.5000 0.5000 0.5000 [1 per cell]  4 Pt 2.54, 8 Ni 2.60
Pt1 0.0000 0.0000 0.5000 [1 per cell]  12 Ni 2.54-2.60

Properties
The energy of formation from the pure elements comes out at -0.076 eV/atom.

=====

Entry 3:
The following is a PBE-GGA calculation of a relaxed structure of Tl4HgSb2, from Alexandria.

Cell lengths 7.8908, 7.8908, 7.3370 Å; angles 90.00, 90.00, 90.00 degrees
Last column: nearest neighbours and their distance in Å.
Space group I4/mmm (No. 139)
Inequivalent atoms, fractional coordinates:
Tl1 0.2500 0.2500 0.2500 [8 per cell]  2 Hg 3.34, 4 Sb 3.34, 2 Tl 3.67
Hg1 0.0000 0.0000 0.0000 [2 per cell]  8 Tl 3.34
Sb1 0.0000 0.5000 0.0000 [4 per cell]  8 Tl 3.34, 2 Sb 3.67

Properties
The value obtained for the energy above the most stable polymorph in this dataset is 38 meV/atom.

=====

Entry 4:
The following is a PBE-GGA calculation of a relaxed structure of KBeNi2, from Alexandria.

Cell lengths 7.4394, 2.7417, 6.8175 Å; angles 90.00, 98.74, 90.00 degrees
Last column: nearest neighbours and their distance in Å.
Space group C2/m (No. 12)
Inequivalent atoms, fractional coordinates:
K1 0.0000 0.0000 0.0000 [2 per cell]  2 K 2.74
Be1 0.0000 0.5000 0.5000 [2 per cell]  4 Ni 2.16
Ni1 0.2113 0.0000 0.6269 [4 per cell]  2 Be 2.16, 2 Ni 2.35

Properties
The energy of formation from the pure elements comes out at 0.378 eV/atom.

=====

Entry 5:
The following is a PBE-GGA calculation of a relaxed structure of Zr2SbSe, from Alexandria.

Cell lengths 3.7489, 3.7489, 6.5658 Å; angles 90.00, 90.00, 90.00 degrees
Last column: nearest neighbours and their distance in Å.
Space group P4mm (No. 99)
Inequivalent atoms, fractional coordinates:
Zr1 0.0000 0.0000 0.0000 [1 per cell]  4 Se 2.79
Zr2 0.5000 0.5000 0.2947 [1 per cell]  1 Se 2.81, 4 Sb 2.91
Sb1 0.0000 0.0000 0.4784 [1 per cell]  5 Zr 2.91-3.14
Se1 0.5000 0.5000 0.8668 [1 per cell]  5 Zr 2.79-2.81

Properties
The value obtained for the energy above the most stable polymorph in this dataset is 1 meV/atom.

=====

Entry 6:
The following is a PBE-GGA calculation of a relaxed structure of PmDy4Y2, from Alexandria.

Cell lengths 16.7534, 3.5284, 8.7747 Å; angles 90.00, 119.44, 90.00 degrees
Last column: nearest neighbours and their distance in Å.
Space group C2/m (No. 12)
Inequivalent atoms, fractional coordinates:
Pm1 0.0000 0.0000 0.0000 [2 per cell]  2 Y 3.36, 2 Pm 3.53, 4 Dy 3.58
Dy1 0.1423 0.5000 0.8361 [4 per cell]  7 Dy 3.53-3.77, 4 Y 3.61-3.62, 2 Pm 3.77
Dy2 0.2051 0.5000 0.2930 [4 per cell]  3 Y 3.32-3.51, 7 Dy 3.53-3.71, 2 Pm 3.58
Y1 0.0707 0.0000 0.4303 [4 per cell]  3 Y 3.16-3.53, 3 Dy 3.32-3.51, 1 Pm 3.36

Properties
The energy of formation from the pure elements comes out at 0.040 eV/atom. The value obtained for the energy above the most stable polymorph in this dataset is 0 meV/atom.

=====

Entry 7:
The following is a PBE-GGA calculation of a relaxed structure of BaPaPd2S4, from Alexandria.

Cell lengths 6.3352, 7.0916, 8.4036 Å; angles 90.00, 90.00, 90.00 degrees
Last column: nearest neighbours and their distance in Å.
Space group I222 (No. 23)
Inequivalent atoms, fractional coordinates:
Ba1 0.0000 0.0000 0.0000 [2 per cell]  8 S 3.17-3.29
Pa1 0.0000 0.0000 0.5000 [2 per cell]  4 S 2.59
Pd1 0.0000 0.5000 0.1695 [4 per cell]  4 S 2.40-2.68
S1 0.2098 0.2157 0.3081 [8 per cell]  2 Pd 2.40-2.68, 1 Pa 2.59

Properties
The total energy is -5.91 eV per atom.

=====

Entry 8:
The following is a PBE-GGA calculation of a relaxed structure of Mn2B2Pt, from Alexandria.

Cell lengths 5.5645, 5.5645, 3.3410 Å; angles 90.00, 90.00, 90.00 degrees
Last column: nearest neighbours and their distance in Å.
Space group P4/mbm (No. 127)
Inequivalent atoms, fractional coordinates:
Mn1 0.1648 0.3352 0.0000 [4 per cell]  6 B 2.30-2.41
B1 0.1141 0.6141 0.5000 [4 per cell]  1 B 1.80
Pt1 0.0000 0.0000 0.5000 [2 per cell]  4 B 2.24

Properties
The energy of formation from the pure elements comes out at -0.283 eV/atom. The value obtained for the energy above the most stable polymorph in this dataset is 0 meV/atom.

=====

| no. | DOS(E_F) (states/eV/atom) | calculated volume (Å³ per cell) |
| --- | --- | --- |
| 1 | 0.582 | 360.8 |
| 2 | 1.203 | 138.1 |
| 3 | 0.402 | 456.8 |
| 4 | 0.879 | 137.4 |
| 5 | 0.380 | 92.3 |
| 6 | 1.543 | 451.7 |
| 7 | 0.411 | 377.5 |
| 8 | 0.624 | 103.4 |